1.
VASP calculation (GGA-PBEsol) on CsAl3Cl after structural relaxation.

Results
As for the formation energy (no corrections): 0.5061 eV per atom. For the energy, the calculation gives -12.7 eV per cell. The calculation puts the total magnetization at 0.0002 μB per atom.

Cell lengths 5.4840, 5.4840, 5.4840 Å; angles 90.00, 90.00, 90.00 degrees
Last column: nearest neighbours and their distance in Å.
Positions (direct):
1 Cs 0.5000 0.5000 0.5000  12 Al 3.88
2 Al 0.0000 0.5000 0.0000  2 Cl 2.74
3 Al 0.0000 0.0000 0.5000  2 Cl 2.74
4 Al 0.5000 0.0000 0.0000  2 Cl 2.74
5 Cl 0.0000 0.0000 0.0000  6 Al 2.74

***

2.
VASP calculation (GGA-PBEsol) on SrLa2Cl after structural relaxation.

Results
As for the formation energy (no corrections): -0.5071 eV per atom. For the energy, the calculation gives -16.6 eV per cell. The calculation puts the total magnetization at 0.0001 μB per atom.

Cell lengths 3.5605, 3.5605, 10.1991 Å; angles 90.00, 90.00, 90.00 degrees
Last column: nearest neighbours and their distance in Å.
Positions (direct):
1 Sr 0.5000 0.5000 0.0000  4 Sr 3.56
2 Cl 0.5000 0.5000 0.5000  8 La 3.11
3 La 0.0000 0.0000 0.6791  4 Cl 3.11
4 La 0.0000 0.0000 0.3209  4 Cl 3.11